Record 1
Ba2Pu3O8 PBE-GGA optimized geometry; SG = C2/m, No. 12; uncorrected formation energy = -38.73 eV/f.u.; total moment = 12.0 μB per cell
1.0
5.7901 -0.1368 -1.4332
-0.5693 6.4028 -2.9113
-0.5880 -0.6866 7.1569
Ba Pu O
2 3 8
Cartesian
3.1466 4.1816 0.0290
1.4862 1.3978 2.7834
2.8950 -0.0684 -0.7166
-0.1460 1.6421 -0.7467
-0.4233 4.7607 -2.1647
-0.4643 2.0097 4.5107
5.0970 3.5696 -1.6983
-0.4682 5.2396 3.0627
5.1009 0.3398 -0.2503
1.6368 5.4942 -1.7032
1.9639 1.8150 -0.0303
2.6688 3.7644 2.8427
2.9960 0.0852 4.5156

Record 2
Ba2Pu2O5 PBE-GGA optimized geometry; SG = P4/mmm, No. 123; distance to the lowest polymorph of the same formula = 24 meV/atom; uncorrected formation energy = -24.80 eV/f.u.; total moment = 10.0 μB per cell
1.0
4.4899 0.0000 0.0000
0.0000 4.4899 0.0000
0.0000 0.0000 8.4347
Ba Pu O
2 2 5
Cartesian
0.0000 0.0000 0.0000
0.0000 0.0000 4.2174
2.2449 2.2449 2.0447
2.2449 2.2449 6.3900
2.2449 0.0000 1.8704
2.2449 0.0000 6.5644
2.2449 2.2449 4.2174
0.0000 2.2449 1.8704
0.0000 2.2449 6.5644

Record 3
BaPu3O8 PBE-GGA optimized geometry; SG = P-3, No. 147; distance to the lowest polymorph of the same formula = 166 meV/atom; uncorrected formation energy = -31.23 eV/f.u.; total moment = 10.0 μB per cell
1.0
-0.7943 -5.5876 -1.6434
1.5347 1.2456 5.5359
-6.8386 0.4439 1.7959
Ba Pu O
1 3 8
Cartesian
-3.4193 0.2219 0.8980
-6.0790 -2.9165 2.3414
-0.0193 -0.9817 3.3470
0.0000 0.0000 0.0000
-1.5084 -3.8851 -0.6543
-0.8385 -1.4230 1.2880
-0.7383 -4.4248 2.4115
-4.5898 -0.0130 6.3427
-5.2597 -2.4752 4.4005
-5.3599 0.5266 3.2769
-4.2388 -3.0359 1.8582
-1.8594 -0.8622 3.8303

Record 4
RbBaPuO4 PBE-GGA optimized geometry; SG = I4mm, No. 107; uncorrected formation energy = -18.26 eV/f.u.; total moment = 3.0 μB per cell
1.0
-3.7378 0.7763 -2.2169
-1.1888 -4.2187 0.5271
-0.6429 3.3210 6.6424
Rb Ba Pu O
1 1 1 4
Cartesian
-2.1758 1.1206 4.0608
-3.3509 -1.2641 0.8117
-5.5439 -0.1346 4.9048
-0.6497 -2.0809 0.3667
-1.9242 0.4166 -1.0053
-4.6169 -0.6121 3.1745
-0.9107 0.4690 1.6998

Record 5
Rb3Ba2PuO6 PBE-GGA optimized geometry; SG = C2/m, No. 12; uncorrected formation energy = -26.80 eV/f.u.; total moment = 3.0 μB per cell
1.0
6.6644 -0.0043 -0.0008
-3.3343 5.7703 -0.0008
-1.1116 -1.9247 6.5546
Rb Ba Pu O
3 2 1 6
Cartesian
-2.2840 3.8804 3.2765
4.5025 -0.0390 3.2765
1.1093 1.9207 3.2765
-0.0042 3.8471 -0.0008
3.3343 1.9190 -0.0008
0.0000 0.0000 0.0000
3.1276 2.2674 5.3344
2.4159 4.1831 1.2144
-0.9091 1.5740 1.2185
0.4009 3.8422 5.3344
-0.1974 -0.3418 5.3385
1.8177 -0.0008 1.2185

Record 6
Rb2BaPuO5 PBE-GGA optimized geometry; SG = Immm, No. 71; uncorrected formation energy = -21.12 eV/f.u.; total moment = 2.0 μB per cell
1.0
-1.7592 3.8799 -0.2626
-5.1791 -2.4986 -2.2223
1.0809 -1.3469 7.5458
Rb Ba Pu O
2 1 1 5
Cartesian
-1.0509 -0.2887 2.7737
-4.8064 0.3232 2.2872
-2.5895 -1.2493 -1.1112
-0.8796 1.9400 -0.1313
-5.3213 -0.0994 -0.5078
-0.5360 0.1339 5.5687
-3.2435 -1.1724 4.4069
-2.6138 1.2068 0.6540
0.0000 0.0000 0.0000

Record 7
Rb2BaPuO4 PBE-GGA optimized geometry; SG = P2/m, No. 10; uncorrected formation energy = -17.92 eV/f.u.; total moment = 4.0 μB per cell
1.0
3.7174 0.0000 0.0000
0.0000 6.6720 0.0193
0.0000 -2.4182 6.5533
Rb Ba Pu O
2 1 1 4
Cartesian
1.8587 -1.2091 3.2767
0.0000 2.1269 3.2863
1.8587 3.3360 0.0097
0.0000 0.0000 0.0000
1.8587 0.8960 1.2102
1.8587 3.3577 5.3625
0.0000 -0.6023 5.3942
0.0000 4.8561 1.1785

Record 8
Rb2BaPu2O7 PBE-GGA optimized geometry; SG = I4/mmm, No. 139; uncorrected formation energy = -31.31 eV/f.u.; total moment = 6.0 μB per cell
1.0
-0.0722 -0.0531 -4.3684
3.1768 -2.9998 -0.0160
-6.2919 -9.8330 -1.9606
Rb Ba Pu O
2 1 2 7
Cartesian
0.1081 -6.2264 -4.2962
-3.2954 -6.6595 -2.0488
0.0000 0.0000 0.0000
-3.2521 -9.7838 -4.1965
0.0647 -3.1021 -2.1485
1.5523 -1.5265 -2.1922
-1.2921 -4.5389 -2.1085
-1.8952 -8.3470 -4.2365
0.1515 -2.9988 -4.3364
1.7759 -4.4721 -2.1603
-4.9632 -8.4138 -4.1847
-3.3388 -9.8871 -2.0086

Record 9
Rb2Ba2PuO6 PBE-GGA optimized geometry; SG = C2/m, No. 12; uncorrected formation energy = -25.96 eV/f.u.; total moment = 2.0 μB per cell
1.0
6.5461 0.0733 0.1687
-3.1717 5.7269 0.1687
-1.0993 -1.8896 6.5860
Rb Ba Pu O
2 2 1 6
Cartesian
5.0018 0.9717 0.1687
-1.6275 4.8285 0.1687
-0.4415 2.8740 3.4617
2.7166 1.0366 3.4617
-0.5496 -0.9448 3.2930
1.9400 3.3346 4.7522
-1.4700 0.5537 4.4597
0.3351 0.5760 2.1712
1.2079 -1.0043 4.4597
3.7451 3.3570 2.4637
1.0672 4.9149 2.4637

Record 10
Rb2BaPuO6 PBE-GGA optimized geometry; SG = R-3, No. 148; uncorrected formation energy = -22.00 eV/f.u.; total moment = 0.0 μB per cell
1.0
6.5303 0.0002 0.0003
3.2653 5.6558 0.0001
3.2654 1.8856 5.2809
Rb Ba Pu O
2 1 1 6
Cartesian
6.5306 3.7706 1.6080
3.2652 1.8857 4.2174
9.7958 5.6561 2.9127
3.2652 1.8853 0.2722
4.7854 1.3165 1.4113
2.0141 0.8536 1.4134
2.9987 3.4852 1.4131
7.7816 4.8028 4.4119
6.7972 2.1710 4.4122
5.0103 4.3395 4.4140

Record 11
BaPuReO6 PBE-GGA optimized geometry; SG = P312, No. 149; uncorrected formation energy = -21.54 eV/f.u.; total moment = 5.0 μB per cell
1.0
5.5894 0.0009 -0.0013
2.7952 4.8404 0.0016
0.0018 -0.0037 5.7133
Ba Pu Re O
1 1 1 6
Cartesian
8.3861 4.8375 5.7135
5.5903 3.2256 2.8568
2.7956 1.6119 2.8567
1.1960 1.7345 1.7501
2.1022 0.1653 3.9634
4.3951 1.7343 3.9639
1.8901 2.9358 3.9639
3.7013 2.9359 1.7496
3.4894 0.1657 1.7494

Record 12
BaPuRhO6 PBE-GGA optimized geometry; SG = P-31c, No. 163; uncorrected formation energy = -18.83 eV/f.u.; total moment = 1.9 μB per cell
1.0
5.3166 0.0000 0.0000
-2.6583 4.6043 0.0000
0.0000 0.0000 12.0800
Ba Pu Rh O
2 2 2 12
Cartesian
0.0000 0.0000 0.0000
0.0000 0.0000 6.0400
2.6583 1.5348 3.0200
0.0000 3.0696 9.0600
0.0000 3.0696 3.0200
2.6583 1.5348 9.0600
1.6851 2.9245 1.8684
-0.9682 1.6827 1.8684
1.9414 0.0029 7.9084
3.6265 2.9216 10.2116
0.9682 1.6827 4.1716
-1.6851 2.9245 4.1716
3.3752 0.0029 10.2116
0.7169 4.6015 4.1716
4.3434 1.6799 7.9084
-0.7169 4.6015 1.8684
1.6901 2.9216 7.9084
0.9732 1.6799 10.2116

Record 13
BaPuRh2O8 PBE-GGA optimized geometry; SG = P-3, No. 147; uncorrected formation energy = -16.54 eV/f.u.; total moment = 4.1 μB per cell
1.0
-2.9361 4.7557 1.3703
1.3708 -3.8127 4.0864
6.5264 3.6727 1.2374
Ba Pu Rh O
1 1 2 8
Cartesian
0.0000 0.0000 0.0000
3.2632 1.8364 0.6187
0.0631 2.7795 2.5721
4.8980 1.8362 4.1220
6.4475 2.7082 4.4158
1.4811 1.7990 1.7587
-0.0588 4.5199 1.8043
-1.4863 1.9075 2.2783
5.0199 0.0958 4.8898
3.4801 2.8167 4.9354
4.6151 1.7076 2.2413
0.3461 2.9081 4.4528

Record 14
Ba3Pu2RhO9 PBE-GGA optimized geometry; SG = P-3m1, No. 164; uncorrected formation energy = -38.47 eV/f.u.; total moment = 7.0 μB per cell
1.0
-0.8211 1.4591 -5.7924
0.9570 -5.7465 1.5550
-7.3248 -1.0075 0.7845
Ba Pu Rh O
3 2 1 9
Cartesian
-4.4383 -4.0052 -0.3798
0.0000 0.0000 0.0000
-2.7507 -1.2897 -3.0731
-0.9305 -3.5227 -0.7555
-6.2585 -1.7722 -2.6974
-3.6624 -0.5038 0.3923
-5.3802 -0.3791 -4.0787
-4.8900 -3.3230 -3.2821
-4.9596 -1.1266 -1.1113
-2.2294 -4.1682 -2.3416
-2.2990 -1.9719 -0.1708
-1.8088 -4.9157 0.6258
-0.4106 0.7296 -2.8962
0.4785 -2.8732 0.7775
0.0679 -2.1437 -2.1187

Record 15
Ba2PuRh3O12 PBE-GGA optimized geometry; SG = R-3m, No. 166; uncorrected formation energy = -27.90 eV/f.u.; total moment = 1.2 μB per cell
1.0
7.4118 0.2024 0.1435
3.8363 6.3449 0.1435
3.8363 2.2330 5.9407
Ba Pu Rh O
2 1 3 12
Cartesian
9.1447 5.3230 3.7756
5.9396 3.4574 2.4523
0.0000 0.0000 0.0000
3.7059 0.1012 0.0718
1.9182 3.1725 0.0718
1.9182 1.1165 2.9704
7.1857 4.1827 5.4983
11.6537 6.7834 2.2478
9.5499 7.9783 5.6589
9.2632 3.0027 2.1298
11.6537 4.3639 5.6589
7.1857 6.5719 2.1298
7.8987 4.5977 0.7296
3.4307 1.9969 3.9800
5.5345 0.8020 0.5689
5.8212 5.7776 4.0980
3.4307 4.4164 0.5689
7.8987 2.2085 4.0980

Record 16
Ba2Pu3RuO12 PBE-GGA optimized geometry; SG = R-3m, No. 166; uncorrected formation energy = -43.52 eV/f.u.; total moment = 6.0 μB per cell
1.0
-4.4485 -3.6852 -4.7834
-0.0329 -7.4837 0.4934
-6.1598 -3.1730 2.8704
Ba Pu Ru O
2 3 1 12
Cartesian
-7.1366 -9.6184 -0.9520
-3.5047 -4.7235 -0.4675
-2.2243 -1.8426 -2.3917
-0.0164 -3.7419 0.2467
-3.0799 -1.5865 1.4352
0.0000 0.0000 0.0000
-7.3843 -6.7216 1.3406
-6.0766 -11.4216 -3.1370
-7.1549 -11.0989 1.6856
-6.3064 -7.0442 -3.4806
-9.9371 -8.7055 -1.6393
-3.5249 -9.4369 -0.1567
-3.2569 -7.6203 -2.7602
-4.5646 -2.9203 1.7175
-3.4864 -3.2430 -3.1051
-4.3348 -7.2977 2.0610
-0.7041 -5.6365 0.2197
-7.1163 -4.9050 -1.2629

Record 17
BaPuS2O8 PBE-GGA optimized geometry; SG = P-3m1, No. 164; uncorrected formation energy = -23.76 eV/f.u.; total moment = 6.0 μB per cell
1.0
5.3991 0.0000 0.0000
-2.6996 4.6758 0.0000
0.0000 0.0000 8.2855
Ba Pu S O
1 1 2 8
Cartesian
0.0000 0.0000 4.1427
0.0000 0.0000 0.0000
0.0000 3.1172 5.9810
2.6996 1.5586 2.3045
0.0000 1.7074 6.4738
-1.2209 3.8221 6.4738
1.2209 3.8221 6.4738
1.4786 0.8537 1.8117
2.6996 1.5586 3.7903
0.0000 3.1172 4.4952
2.6996 2.9684 1.8117
3.9205 0.8537 1.8117

Record 18
Ba2PuS2O2 PBE-GGA optimized geometry; SG = I4/mmm, No. 139; uncorrected formation energy = -17.24 eV/f.u.; total moment = 4.0 μB per cell
1.0
-4.3674 -0.8102 -0.2800
0.7803 -4.3593 0.4435
1.1368 3.2993 8.0963
Ba Pu S O
2 1 2 2
Cartesian
-0.4745 0.5162 5.9085
-1.9759 -2.3865 2.3514
0.0000 0.0000 0.0000
-0.2191 0.2383 2.7279
-2.2313 -2.1086 5.5320
0.3901 -2.1797 0.2218
-2.1837 -0.4051 -0.1400

Record 19
Ba3Pu2S2O5 PBE-GGA optimized geometry; SG = I4/mmm, No. 139; uncorrected formation energy = -32.14 eV/f.u.; total moment = 8.0 μB per cell
1.0
4.4356 0.0000 0.0000
0.0000 4.4356 0.0000
-2.2178 -2.2178 12.6715
Ba Pu S O
3 2 2 5
Cartesian
0.0000 0.0000 4.5191
2.2178 2.2178 8.1524
0.0000 0.0000 0.0000
0.0000 0.0000 10.4954
2.2178 2.2178 2.1762
2.2178 2.2178 4.9624
0.0000 0.0000 7.7091
2.2178 0.0000 2.1414
0.0000 2.2178 10.5301
0.0000 2.2178 2.1414
2.2178 0.0000 10.5301
2.2178 2.2178 0.0000

Record 20
BaPu2SbO8 PBE-GGA optimized geometry; SG = P2/m, No. 10; uncorrected formation energy = -27.87 eV/f.u.; total moment = 5.0 μB per cell
1.0
5.2729 0.0807 -0.0036
0.1391 5.2753 -0.0061
0.0047 0.0081 7.0989
Ba Pu Sb O
1 2 1 8
Cartesian
0.0024 0.0041 3.5495
2.7097 2.6842 5.3681
2.7071 2.6799 1.7211
0.0000 0.0000 0.0000
1.2929 4.1035 1.5463
3.7232 3.6925 7.0922
4.1214 1.2562 1.5478
4.1238 1.2606 5.5428
1.6935 1.6716 -0.0030
1.2954 4.1079 5.5414
3.5734 3.5440 3.5430
1.8434 1.8201 3.5462